Entry 1:
VASP calculation (GGA-PBE) on an optimized crystal structure of Ru4PbW.

CIF file:
```
data_Ru4PbW
_cell_length_a 5.1620
_cell_length_b 5.1620
_cell_length_c 5.1620
_cell_angle_alpha 60.00
_cell_angle_beta 60.00
_cell_angle_gamma 60.00
_space_group_name_H-M_alt 'P 1'
_space_group_IT_number 1
_space_group_name_Hall 'P 1'
loop_
_atom_site_label
_atom_site_type_symbol
_atom_site_fract_x
_atom_site_fract_y
_atom_site_fract_z
Ru1 Ru 0.3752 0.3752 0.8745
Ru2 Ru 0.8745 0.3752 0.3752
Ru3 Ru 0.3752 0.3752 0.3752
Ru4 Ru 0.3752 0.8745 0.3752
W1 W 0.7500 0.7500 0.7500
Pb1 Pb 0.0000 0.0000 0.0000
```

Calculated values
VASP energy = -0.61253 Ry/atom

***

Entry 2:
VASP calculation (GGA-PBE) on an optimized crystal structure of NaTcF4.

CIF file:
```
data_NaTcF4
_cell_length_a 6.0930
_cell_length_b 6.0930
_cell_length_c 5.1386
_cell_angle_alpha 126.36
_cell_angle_beta 126.36
_cell_angle_gamma 90.00
_space_group_name_H-M_alt 'P 1'
_space_group_IT_number 1
_space_group_name_Hall 'P 1'
loop_
_atom_site_label
_atom_site_type_symbol
_atom_site_fract_x
_atom_site_fract_y
_atom_site_fract_z
Tc1 Tc 0.5000 0.5000 0.0000
F1 F 0.3210 0.2461 0.0168
F2 F 0.2293 0.6790 0.9832
F3 F 0.6957 0.7707 0.0168
F4 F 0.7539 0.3043 0.9832
Na1 Na 0.7500 0.2500 0.5000
```

Calculated values
Formation energy without anion corrections = -2.048 eV per atom
VASP energy = -0.38537 Ry/atom

***

Entry 3:
VASP calculation (GGA-PBE) on an optimized crystal structure of HfMgGe2.

CIF file:
```
data_HfMgGe2
_cell_length_a 3.8091
_cell_length_b 4.4109
_cell_length_c 4.4109
_cell_angle_alpha 90.00
_cell_angle_beta 90.00
_cell_angle_gamma 90.00
_space_group_name_H-M_alt 'P 1'
_space_group_IT_number 1
_space_group_name_Hall 'P 1'
loop_
_atom_site_label
_atom_site_type_symbol
_atom_site_fract_x
_atom_site_fract_y
_atom_site_fract_z
Ge1 Ge 0.0000 0.0000 0.5000
Ge2 Ge 0.0000 0.5000 0.0000
Hf1 Hf 0.5000 0.0000 0.0000
Mg1 Mg 0.5000 0.5000 0.5000
```

Calculated values
VASP energy = -0.39994 Ry/atom

***

Entry 4:
VASP calculation (GGA-PBE) on an optimized crystal structure of HfFe2Tc.

CIF file:
```
data_HfFe2Tc
_cell_length_a 4.3238
_cell_length_b 4.3238
_cell_length_c 4.3238
_cell_angle_alpha 60.00
_cell_angle_beta 60.00
_cell_angle_gamma 60.00
_space_group_name_H-M_alt 'P 1'
_space_group_IT_number 1
_space_group_name_Hall 'P 1'
loop_
_atom_site_label
_atom_site_type_symbol
_atom_site_fract_x
_atom_site_fract_y
_atom_site_fract_z
Tc1 Tc 0.0000 0.0000 0.0000
Fe1 Fe 0.2500 0.2500 0.2500
Fe2 Fe 0.7500 0.7500 0.7500
Hf1 Hf 0.5000 0.5000 0.5000
```

Calculated values
VASP energy = -0.68641 Ry/atom
Polymorph energy (0 for the lowest one) = 21 meV/atom

***

no.,total magnetic moment (μB per atom)
1,0.0001
2,0.6667
3,0.0000
4,0.8058